# LaTl2As

A relaxed structure of LaTl2As (PBE-GGA, Alexandria).

## Properties
The calculation puts the energy relative to the elements at -447 meV/atom.

a b c (Å): 5.9218 5.9218 5.9218
angles (deg): 134.63 130.68 69.24
Sites, in units of the cell vectors:
Tl1 0.0003 0.0003 0.0000
Tl2 0.7269 0.2269 0.5000
As1 0.5072 0.5072 0.0000
La1 0.2656 0.7656 0.5000

# LaTlAs3

A relaxed structure of LaTlAs3 (PBE-GGA, Alexandria).

## Properties
The calculation puts the energy relative to the elements at 324 meV/atom.

a b c (Å): 5.7049 5.7049 5.7049
angles (deg): 90.00 90.00 90.00
Sites, in units of the cell vectors:
As1 0.0000 0.5000 0.0000
As2 0.5000 0.0000 0.0000
As3 0.0000 0.0000 0.5000
La1 0.0000 0.0000 0.0000
Tl1 0.5000 0.5000 0.5000

Question: energy relative to the elements of number 2 (LaTlAs3)?
Answer: 324 meV/atom